# Pm4Dy3HoS8, optimized geometry, DFT GGA-PBE
data_Pm4Dy3HoS8
_cell_length_a 7.8930
_cell_length_b 7.8930
_cell_length_c 19.6479
_cell_angle_alpha 90.00
_cell_angle_beta 90.00
_cell_angle_gamma 120.00
_symmetry_space_group_name_H-M 'R -3 m'
_symmetry_Int_Tables_number 166
_symmetry_space_group_name_Hall '-R 3 2"'
loop_
_atom_site_label
_atom_site_fract_x
_atom_site_fract_y
_atom_site_fract_z
Pm1 0.0000 0.0000 0.0000
Pm2 0.0000 0.5000 0.0000
Dy1 0.0000 0.5000 0.5000
Ho1 0.0000 0.0000 0.5000
S1 0.0000 0.0000 0.2456
S2 0.0010 0.5005 0.2454
# * energy: -6.412 eV/atom
# * formation energy without anion corrections: -2.0119 eV per atom
# * magnetic moment: 0.00 Bohr magnetons per cell

***

# Pm8NdSc5, optimized geometry, DFT GGA-PBE
data_Pm8NdSc5
_cell_length_a 8.1766
_cell_length_b 8.2828
_cell_length_c 8.4850
_cell_angle_alpha 113.16
_cell_angle_beta 99.13
_cell_angle_gamma 115.33
_symmetry_space_group_name_H-M 'P 1'
_symmetry_Int_Tables_number 1
loop_
_symmetry_equiv_pos_as_xyz
'x,y,z'
loop_
_atom_site_label
_atom_site_fract_x
_atom_site_fract_y
_atom_site_fract_z
Pm1 0.0000 0.0000 0.0000
Pm2 0.0081 0.4326 0.2756
Pm3 0.4096 0.7462 0.7897
Pm4 0.4322 0.9776 0.4482
Pm5 0.5787 0.3973 0.8524
Pm6 0.5951 0.6173 0.4699
Pm7 0.7225 0.9040 0.2445
Pm8 0.8718 0.4310 0.5968
Nd1 0.0689 0.6876 0.0600
Sc1 0.1279 0.9414 0.6605
Sc2 0.2069 0.2301 0.4714
Sc3 0.2813 0.4298 0.0172
Sc4 0.4797 0.1681 0.1300
Sc5 0.8188 0.1492 0.7882
# * energy: -5.124 eV/atom
# * magnetic moment: 0.00 Bohr magnetons per cell
# * DFT formation energy: 193 meV/atom

***

# CrGa3P4, optimized geometry, DFT GGA-PBE
data_CrGa3P4
_cell_length_a 5.4823
_cell_length_b 5.4823
_cell_length_c 5.4823
_cell_angle_alpha 90.00
_cell_angle_beta 90.00
_cell_angle_gamma 90.00
_symmetry_space_group_name_H-M 'P -4 3 m'
_symmetry_Int_Tables_number 215
_symmetry_space_group_name_Hall 'P -4 2 3'
loop_
_atom_site_label
_atom_site_fract_x
_atom_site_fract_y
_atom_site_fract_z
Cr1 0.0000 0.0000 0.0000
Ga1 0.0000 0.5000 0.5000
P1 0.2463 0.2463 0.2463
# * energy: -5.275 eV/atom
# * magnetic moment: 3.00 Bohr magnetons per cell
# * DFT formation energy: -232 meV/atom

***

# KC2, optimized geometry, DFT GGA-PBE
data_KC2
_cell_length_a 6.6816
_cell_length_b 5.5776
_cell_length_c 11.6969
_cell_angle_alpha 90.00
_cell_angle_beta 103.76
_cell_angle_gamma 90.00
_symmetry_space_group_name_H-M 'C 1 2/m 1'
_symmetry_Int_Tables_number 12
loop_
_symmetry_equiv_pos_as_xyz
'x,y,z'
'-x,-y,-z'
'-x,y,-z'
'x,-y,z'
'x+1/2,y+1/2,z'
'-x+1/2,-y+1/2,-z'
'-x+1/2,y+1/2,-z'
'x+1/2,-y+1/2,z'
loop_
_atom_site_label
_atom_site_fract_x
_atom_site_fract_y
_atom_site_fract_z
K1 0.0000 0.0000 0.0000
K2 0.0690 0.0000 0.3404
C1 0.0420 0.5000 0.4568
C2 0.0654 0.5000 0.0550
C3 0.1908 0.5000 0.1543
# * energy: -5.773 eV/atom
# * magnetic moment: 2.09 Bohr magnetons per cell
# * DFT formation energy: 742 meV/atom

***

# RbCaNb2H, optimized geometry, DFT GGA-PBE
data_RbCaNb2H
_cell_length_a 5.0780
_cell_length_b 5.0780
_cell_length_c 4.6076
_cell_angle_alpha 90.00
_cell_angle_beta 90.00
_cell_angle_gamma 90.00
_symmetry_space_group_name_H-M 'P 4/m m m'
_symmetry_Int_Tables_number 123
_symmetry_space_group_name_Hall '-P 4 2'
loop_
_atom_site_label
_atom_site_fract_x
_atom_site_fract_y
_atom_site_fract_z
Rb1 0.0000 0.0000 0.0000
Ca1 0.5000 0.5000 0.5000
Nb1 0.0000 0.5000 0.0000
H1 0.0000 0.0000 0.5000
# * energy: -3.028 eV/atom
# * magnetic moment: 0.55 Bohr magnetons per cell

***

# TaCd2Mo, optimized geometry, DFT GGA-PBE
data_TaCd2Mo
_cell_length_a 3.9686
_cell_length_b 3.9686
_cell_length_c 4.6485
_cell_angle_alpha 90.00
_cell_angle_beta 90.00
_cell_angle_gamma 90.00
_symmetry_space_group_name_H-M 'P 4/m m m'
_symmetry_Int_Tables_number 123
_symmetry_space_group_name_Hall '-P 4 2'
loop_
_atom_site_label
_atom_site_fract_x
_atom_site_fract_y
_atom_site_fract_z
Ta1 0.0000 0.0000 0.0000
Cd1 0.0000 0.5000 0.5000
Mo1 0.5000 0.5000 0.0000
# * energy: -5.797 eV/atom
# * magnetic moment: 0.00 Bohr magnetons per cell
# * DFT formation energy: 331 meV/atom

***

# KMn2Cl, optimized geometry, DFT GGA-PBE
data_KMn2Cl
_cell_length_a 3.6729
_cell_length_b 4.4063
_cell_length_c 6.9083
_cell_angle_alpha 90.00
_cell_angle_beta 90.00
_cell_angle_gamma 90.00
_symmetry_space_group_name_H-M 'P m m m'
_symmetry_Int_Tables_number 47
loop_
_symmetry_equiv_pos_as_xyz
'x,y,z'
'-x,-y,-z'
'-x,-y,z'
'x,y,-z'
'x,-y,-z'
'-x,y,z'
'-x,y,-z'
'x,-y,z'
loop_
_atom_site_label
_atom_site_fract_x
_atom_site_fract_y
_atom_site_fract_z
K1 0.0000 0.0000 0.0000
Mn1 0.0000 0.5000 0.5000
Mn2 0.5000 0.0000 0.5000
Cl1 0.5000 0.5000 0.0000
# * energy: -5.098 eV/atom
# * formation energy without anion corrections: 0.2228 eV per atom
# * magnetic moment: 8.99 Bohr magnetons per cell

***

# Si2TcAg, optimized geometry, DFT GGA-PBE
data_Si2TcAg
_cell_length_a 3.0485
_cell_length_b 4.8333
_cell_length_c 8.5516
_cell_angle_alpha 90.00
_cell_angle_beta 90.00
_cell_angle_gamma 90.00
_symmetry_space_group_name_H-M 'C m m m'
_symmetry_Int_Tables_number 65
_symmetry_space_group_name_Hall '-C 2 2'
loop_
_atom_site_label
_atom_site_fract_x
_atom_site_fract_y
_atom_site_fract_z
Si1 0.0000 0.0000 0.2218
Tc1 0.0000 0.5000 0.0000
Ag1 0.0000 0.5000 0.5000
# * energy: -5.827 eV/atom
# * formation energy without anion corrections: 0.1887 eV per atom
# * magnetic moment: 0.00 Bohr magnetons per cell